LiHg3Os PBE-GGA relaxed; space group = Pm-3m, No. 221; formation enthalpy at 0 K = 0.542 eV/atom; DFT total energy = -2.268 eV/atom; volume = 29.0 Å³ per atom
1.0
-2.4565 -0.4172 -4.6253
-2.7927 -4.0480 1.8484
-3.7106 3.3229 1.6710
Hg Li Os
3 1 1
Cartesian
-1.8553 1.6614 0.8355
-1.2283 -0.2086 -2.3127
-1.3963 -2.0240 0.9242
-4.4799 -0.5712 -0.5530
0.0000 0.0000 0.0000

LiHgOs2 PBE-GGA relaxed; space group = Pmmm, No. 47; formation enthalpy at 0 K = 0.507 eV/atom; DFT total energy = -5.662 eV/atom; volume = 15.5 Å³ per atom
1.0
2.8611 0.0000 0.0000
0.0000 4.4901 0.0000
0.0000 0.0000 4.8344
Li Hg Os
1 1 2
Cartesian
0.0000 2.2451 2.4172
1.4305 0.0000 2.4172
1.4305 2.2451 0.0000
0.0000 0.0000 0.0000

LiHg3Os PBE-GGA relaxed; space group = Pm-3m, No. 221; formation enthalpy at 0 K = 1.159 eV/atom; DFT total energy = -1.651 eV/atom; volume = 19.4 Å³ per atom
1.0
-1.8629 -1.6068 -3.8793
-3.0915 -2.3470 2.4567
-2.8414 3.6071 -0.1296
Li Hg Os
1 3 1
Cartesian
0.0000 0.0000 0.0000
-1.4207 1.8035 -0.0648
-0.9314 -0.8034 -1.9397
-1.5458 -1.1735 1.2284
-3.8979 -0.1734 -0.7761